This record from Alexandria via LeMat-Bulk describes an optimized crystal structure of Ce3AgSn5. The functional is PBE-GGA.

## Properties
Formation energy in meV/atom: -474
DOS(E_F) in states/eV per cell: 26.95
E_tot in eV/atom: -4.992
Space-group type: P6_3/mcm
Calculated volume in A^3/atom: 26.1

a = 6.3433 Å, b = 9.2478 Å, c = 9.2478 Å
α = 120.00°, β = 90.00°, γ = 90.00°
Sites, in units of the cell vectors:
Sn 0.2500 0.0000 0.2744
Sn 0.5000 0.3333 0.6667
Sn 0.7500 0.0000 0.7256
Sn 0.5000 0.6667 0.3333
Sn 0.2500 0.2744 0.0000
Sn 0.7500 0.2744 0.2744
Sn 0.7500 0.7256 0.0000
Sn 0.2500 0.7256 0.7256
Sn 0.0000 0.6667 0.3333
Sn 0.0000 0.3333 0.6667
Ce 0.2500 0.0000 0.6202
Ce 0.7500 0.3798 0.0000
Ce 0.7500 0.6202 0.6202
Ce 0.2500 0.3798 0.3798
Ce 0.7500 0.0000 0.3798
Ce 0.2500 0.6202 0.0000
Ag 0.0000 0.0000 0.0000
Ag 0.5000 0.0000 0.0000